# TbSi3Ni8

TbSi3Ni8 after structural relaxation (PBE-GGA, Alexandria via LeMat-Bulk).

```
TbSi3Ni8
1.0
3.160 -6.834 0.000
3.160 6.834 0.000
-3.001 0.000 6.864
Tb Si Ni
2 6 16
Direct
0.132 0.868 0.750
0.868 0.132 0.250
0.000 0.500 0.000
0.223 0.315 0.675
0.315 0.223 0.175
0.500 0.000 0.500
0.685 0.777 0.825
0.777 0.685 0.325
0.061 0.209 0.932
0.068 0.649 0.329
0.209 0.061 0.432
0.302 0.638 0.579
0.351 0.932 0.171
0.362 0.698 0.921
0.377 0.623 0.250
0.500 0.500 0.000
0.500 0.500 0.500
0.623 0.377 0.750
0.638 0.302 0.079
0.649 0.068 0.829
0.698 0.362 0.421
0.791 0.939 0.568
0.932 0.351 0.671
0.939 0.791 0.068
```

**Formation energy (no corrections)**: -0.58 eV per atom
**Fermi-level density of states**: 18.0 states/eV per cell

# TbSi2Ni6

TbSi2Ni6 after structural relaxation (PBE-GGA, Alexandria via LeMat-Bulk).

```
TbSi2Ni6
1.0
3.943 0.000 0.000
0.000 3.943 0.000
0.000 0.000 7.664
Tb Si Ni
1 2 6
Direct
0.000 0.000 0.000
0.500 0.500 0.161
0.500 0.500 0.839
0.000 0.000 0.500
0.000 0.500 0.306
0.000 0.500 0.694
0.500 0.000 0.306
0.500 0.000 0.694
0.500 0.500 0.500
```

**Formation energy (no corrections)**: -0.43 eV per atom
**Fermi-level density of states**: 12.5 states/eV per cell

# Tb3Si2Ni3

Tb3Si2Ni3 after structural relaxation (PBE-GGA, Alexandria via LeMat-Bulk).

```
Tb3Si2Ni3
1.0
7.307 0.000 0.000
0.000 14.363 0.000
0.000 0.000 5.580
Tb Si Ni
12 8 12
Direct
0.023 0.108 0.144
0.023 0.392 0.144
0.156 0.250 0.621
0.344 0.750 0.121
0.477 0.608 0.644
0.477 0.892 0.644
0.523 0.108 0.356
0.523 0.392 0.356
0.656 0.250 0.879
0.844 0.750 0.379
0.977 0.608 0.856
0.977 0.892 0.856
0.134 0.598 0.357
0.134 0.902 0.357
0.366 0.098 0.857
0.366 0.402 0.857
0.634 0.598 0.143
0.634 0.902 0.143
0.866 0.098 0.643
0.866 0.402 0.643
0.160 0.036 0.594
0.160 0.464 0.594
0.192 0.750 0.580
0.308 0.250 0.080
0.340 0.536 0.094
0.340 0.964 0.094
0.660 0.036 0.906
0.660 0.464 0.906
0.692 0.750 0.920
0.808 0.250 0.420
0.840 0.536 0.406
0.840 0.964 0.406
```

**Formation energy (no corrections)**: -0.71 eV per atom
**Fermi-level density of states**: 21.1 states/eV per cell

# TbSiNi2

TbSiNi2 after structural relaxation (PBE-GGA, Alexandria via LeMat-Bulk).

```
TbSiNi2
1.0
3.700 0.000 0.000
0.000 3.807 0.000
0.000 0.000 4.972
Tb Si Ni
1 1 2
Direct
0.000 0.000 0.000
0.500 0.000 0.500
0.500 0.500 0.249
0.500 0.500 0.751
```

**Formation energy (no corrections)**: -0.43 eV per atom
**Fermi-level density of states**: 2.5 states/eV per cell

# Tb2Si3Ni2

Tb2Si3Ni2 after structural relaxation (PBE-GGA, Alexandria via LeMat-Bulk).

```
Tb2Si3Ni2
1.0
2.048 -8.665 0.000
2.048 8.665 0.000
0.000 0.000 6.606
Tb Si Ni
4 6 4
Direct
0.053 0.947 0.750
0.158 0.842 0.250
0.842 0.158 0.750
0.947 0.053 0.250
0.223 0.777 0.750
0.436 0.564 0.567
0.436 0.564 0.933
0.564 0.436 0.067
0.564 0.436 0.433
0.777 0.223 0.250
0.305 0.695 0.054
0.305 0.695 0.446
0.695 0.305 0.554
0.695 0.305 0.946
```

**Formation energy (no corrections)**: -0.79 eV per atom
**Fermi-level density of states**: 7.0 states/eV per cell

# Tb2SiNi3

Tb2SiNi3 after structural relaxation (PBE-GGA, Alexandria via LeMat-Bulk).

```
Tb2SiNi3
1.0
3.781 0.000 0.000
0.000 3.996 0.000
0.000 0.000 7.037
Tb Si Ni
2 1 3
Direct
0.000 0.000 0.000
0.000 0.500 0.483
0.500 0.500 0.820
0.500 0.000 0.326
0.500 0.000 0.663
0.500 0.500 0.146
```

**Formation energy (no corrections)**: -0.57 eV per atom
**Fermi-level density of states**: 4.3 states/eV per cell

# TbSi2Ni10

TbSi2Ni10 after structural relaxation (PBE-GGA, Alexandria via LeMat-Bulk).

```
TbSi2Ni10
1.0
0.000 5.663 5.805
2.403 0.000 5.805
2.403 5.663 0.000
Tb Si Ni
1 2 10
Direct
0.000 0.000 0.000
0.000 0.500 0.000
0.500 0.000 0.500
0.000 0.000 0.500
0.005 0.349 0.651
0.274 0.495 0.505
0.349 0.005 0.995
0.495 0.274 0.726
0.500 0.500 0.000
0.505 0.726 0.274
0.651 0.995 0.005
0.726 0.505 0.495
0.995 0.651 0.349
```

**Formation energy (no corrections)**: -0.35 eV per atom
**Fermi-level density of states**: 13.4 states/eV per cell

# Tb2Si4Ni5

Tb2Si4Ni5 after structural relaxation (PBE-GGA, Alexandria via LeMat-Bulk).

```
Tb2Si4Ni5
1.0
0.000 4.619 6.633
2.685 0.000 6.633
2.685 4.619 0.000
Tb Si Ni
2 4 5
Direct
0.140 0.140 0.860
0.860 0.860 0.140
0.219 0.515 0.485
0.485 0.781 0.219
0.515 0.219 0.781
0.781 0.485 0.515
0.000 0.000 0.500
0.250 0.250 0.250
0.500 0.500 0.000
0.500 0.500 0.500
0.750 0.750 0.750
```

**Formation energy (no corrections)**: -0.70 eV per atom
**Fermi-level density of states**: 8.7 states/eV per cell